Entry 1:
VASP calculation (GGA-PBE) on a geometry-optimized PmZn2Cu9 structure.

**Polymorph energy (0 for the lowest one)**: 0 meV/atom

Cell lengths 10.1449, 10.1449, 6.6171 Å; angles 90.00, 90.00, 90.00 degrees
Space group I4_1/amd (No. 141, origin choice 2)
Unique sites:
Pm 0.0000 0.2500 0.3750 (multiplicity 4)
Zn 0.0000 0.0000 0.0000 (multiplicity 8)
Cu 0.0000 0.2500 0.8750 (multiplicity 4)
Cu 0.1229 0.0421 0.6806 (multiplicity 32)

---

Entry 2:
VASP calculation (GGA-PBE) on a geometry-optimized ZnTcSbI2 structure.

**Raw formation energy**: 0.52 eV per atom
**Polymorph energy (0 for the lowest one)**: 0 meV/atom

Cell lengths 5.6258, 5.6258, 5.1242 Å; angles 90.00, 90.00, 90.00 degrees
Space group P4/mmm (No. 123)
Unique sites:
Zn 0.0000 0.0000 0.0000 (multiplicity 1)
Tc 0.5000 0.5000 0.5000 (multiplicity 1)
Sb 0.5000 0.5000 0.0000 (multiplicity 1)
I 0.0000 0.5000 0.5000 (multiplicity 2)

---

Entry 3:
VASP calculation (GGA-PBE) on a geometry-optimized HoTiTlIn structure.

**Energy**: -4.483 eV per atom

Cell lengths 7.2181, 7.2181, 7.2181 Å; angles 90.00, 90.00, 90.00 degrees
Space group F-43m (No. 216)
Unique sites:
Ho 0.0000 0.0000 0.0000 (multiplicity 4)
Ti 0.0000 0.0000 0.5000 (multiplicity 4)
Tl 0.2500 0.2500 0.2500 (multiplicity 4)
In 0.2500 0.2500 0.7500 (multiplicity 4)